# 1
SrNiAu2 | PBE-GGA | optimized geometry

Cell and atoms, written as POSCAR:
```
SrNiAu2
1.0
5.4243 0.0105 -0.0112
2.0027 5.0411 0.0112
-3.4708 -2.8827 3.0112
Sr Ni Au
1 1 2
direct
0.2618 0.7618 0.5000
0.5236 0.5236 0.0000
0.7229 0.2229 0.5000
0.9917 0.9917 0.0000
```

Computed properties:
crystal system = orthorhombic
space-group type = Imm2
energy of formation from the pure elements = -0.15 eV per atom



# 2
SrNiAu2 | PBE-GGA | optimized geometry

Cell and atoms, written as POSCAR:
```
SrNiAu2
1.0
5.2194 -0.2128 0.0072
0.9063 5.1445 -0.0072
-2.5140 -3.1475 3.3257
Ni Au Sr
1 2 1
direct
0.7500 0.2500 0.5000
0.5583 0.5583 0.0000
0.9417 0.9417 0.0000
0.2500 0.7500 0.5000
```

Computed properties:
crystal system = orthorhombic
space-group type = Immm
energy of formation from the pure elements = -0.18 eV per atom



# 3
SrNi2Au2 | PBE-GGA | optimized geometry

Cell and atoms, written as POSCAR:
```
SrNi2Au2
1.0
7.7210 0.0000 0.0000
0.0000 7.7210 0.0000
0.0000 0.0000 3.0253
Ni Sr Au
4 2 4
direct
0.3399 0.1601 0.5000
0.6601 0.8399 0.5000
0.8399 0.3399 0.5000
0.1601 0.6601 0.5000
0.5000 0.5000 0.0000
0.0000 0.0000 0.0000
0.1340 0.3660 0.0000
0.8660 0.6340 0.0000
0.6340 0.1340 0.0000
0.3660 0.8660 0.0000
```

Computed properties:
crystal system = tetragonal
space-group type = P4/mbm
energy above the lowest structure with this stoichiometry = 14.1 kJ per mole of atoms
energy of formation from the pure elements = 0.00 eV per atom



# 4
Sr2NiAu2 | PBE-GGA | optimized geometry

Cell and atoms, written as POSCAR:
```
Sr2NiAu2
1.0
7.5605 0.0000 0.0000
0.0000 7.5605 0.0000
0.0000 0.0000 4.5024
Sr Ni Au
4 2 4
direct
0.6738 0.8262 0.5000
0.3262 0.1738 0.5000
0.1738 0.6738 0.5000
0.8262 0.3262 0.5000
0.0000 0.0000 0.0000
0.5000 0.5000 0.0000
0.6372 0.1372 0.0000
0.3628 0.8628 0.0000
0.1372 0.3628 0.0000
0.8628 0.6372 0.0000
```

Computed properties:
crystal system = tetragonal
space-group type = P4/mbm
energy of formation from the pure elements = -0.34 eV per atom